w:
Material: IrOsS2
Method: DFT, PBE-GGA
State: relaxed

abc: 7.5373 7.5373 7.5373
angles: 25.04 25.04 25.04
Element x y z (fractional)
Os (0.0000, 0.0000, 0.0000)
S (0.8976, 0.8976, 0.8976)
S (0.1024, 0.1024, 0.1024)
Ir (0.5000, 0.5000, 0.5000)

N(E_F) ... 0.909 states/eV per atom
Total magnetization ... 0.0 μB per cell

***

x:
Material: IrOsS2
Method: DFT, PBE-GGA
State: relaxed

abc: 4.2811 4.2811 4.2811
angles: 60.00 60.00 60.00
Element x y z (fractional)
Os (0.0000, 0.0000, 0.0000)
Ir (0.5000, 0.5000, 0.5000)
S (0.2500, 0.2500, 0.2500)
S (0.7500, 0.7500, 0.7500)

N(E_F) ... 1.023 states/eV per atom
Total magnetization ... 0.0 μB per cell

***

y:
Material: IrOsS2
Method: DFT, PBE-GGA
State: relaxed

abc: 7.8358 7.8358 7.8358
angles: 22.85 22.85 22.85
Element x y z (fractional)
Os (0.5000, 0.5000, 0.5000)
S (0.9021, 0.9021, 0.9021)
S (0.0979, 0.0979, 0.0979)
Ir (0.0000, 0.0000, 0.0000)

N(E_F) ... 0.642 states/eV per atom
Total magnetization ... 0.0 μB per cell

***

z:
Material: IrOsS2
Method: DFT, PBE-GGA
State: relaxed

abc: 5.2738 5.2738 6.3922
angles: 65.64 65.64 90.00
Element x y z (fractional)
Ir (0.0000, 0.0000, 0.0000)
Ir (0.7500, 0.2500, 0.5000)
Os (0.2500, 0.7500, 0.5000)
Os (0.5000, 0.5000, 0.0000)
S (0.6189, 0.1250, 0.2500)
S (0.8750, 0.8689, 0.7500)
S (0.1311, 0.6250, 0.2500)
S (0.3750, 0.3811, 0.7500)

N(E_F) ... 0.807 states/eV per atom
Total magnetization ... 0.0 μB per cell

***

Stability check: which of them is most stable? z.

***

w:
Material: SbTe2IrOs
Method: DFT, PBE-GGA
State: relaxed

abc: 5.2382 4.7775 5.2382
angles: 90.00 90.00 90.00
Element x y z (fractional)
Sb (0.5000, 0.5000, 0.5000)
Te (0.0000, 0.0000, 0.5000)
Te (0.5000, 0.0000, 0.0000)
Ir (0.0000, 0.5000, 0.0000)
Os (0.0000, 0.0000, 0.0000)

N(E_F) ... 0.699 states/eV per atom
Total magnetization ... 0.0 μB per cell

***

x:
Material: SbTe2IrOs
Method: DFT, PBE-GGA
State: relaxed

abc: 5.1271 5.1271 4.9909
angles: 90.00 90.00 90.00
Element x y z (fractional)
Ir (0.5000, 0.5000, 0.5000)
Te (0.5000, 0.0000, 0.0000)
Te (0.0000, 0.5000, 0.0000)
Os (0.0000, 0.0000, 0.0000)
Sb (0.0000, 0.0000, 0.5000)

N(E_F) ... 0.955 states/eV per atom
Total magnetization ... 0.0 μB per cell

***

Stability check: which of them is most stable? w.

***

w:
Material: YSb2IrOs
Method: DFT, PBE-GGA
State: relaxed

abc: 4.9848 5.2137 4.9848
angles: 90.00 90.00 90.00
Element x y z (fractional)
Sb (0.0000, 0.0000, 0.5000)
Sb (0.5000, 0.0000, 0.0000)
Ir (0.0000, 0.0000, 0.0000)
Os (0.5000, 0.5000, 0.5000)
Y (0.0000, 0.5000, 0.0000)

N(E_F) ... 0.671 states/eV per atom
Total magnetization ... 0.0 μB per cell

***

x:
Material: YSb2IrOs
Method: DFT, PBE-GGA
State: relaxed

abc: 5.1269 4.8402 5.1269
angles: 90.00 90.00 90.00
Element x y z (fractional)
Y (0.5000, 0.5000, 0.5000)
Os (0.0000, 0.0000, 0.0000)
Sb (0.0000, 0.0000, 0.5000)
Sb (0.5000, 0.0000, 0.0000)
Ir (0.0000, 0.5000, 0.0000)

N(E_F) ... 0.981 states/eV per atom
Total magnetization ... 0.0 μB per cell

***

Stability check: which of them is most stable? x.

***

w:
Material: ScIrOs
Method: DFT, PBE-GGA
State: relaxed

abc: 5.0898 5.0898 5.0898
angles: 147.62 134.90 56.60
Element x y z (fractional)
Os (0.3569, 0.3569, 0.0000)
Ir (0.9760, 0.9760, 0.0000)
Sc (0.6671, 0.6671, 0.0000)

N(E_F) ... 1.259 states/eV per atom
Total magnetization ... 0.0 μB per cell

***

x:
Material: ScIrOs
Method: DFT, PBE-GGA
State: relaxed

abc: 6.3943 6.3945 2.8297
angles: 77.21 77.22 25.57
Element x y z (fractional)
Ir (0.9872, 0.9872, 0.0128)
Sc (0.6672, 0.6672, 0.3328)
Os (0.3456, 0.3456, 0.6544)

N(E_F) ... 0.668 states/eV per atom
Total magnetization ... 0.0 μB per cell

***

y:
Material: ScIrOs
Method: DFT, PBE-GGA
State: relaxed

abc: 4.2790 4.2790 4.2790
angles: 60.00 60.00 60.00
Element x y z (fractional)
Sc (0.7500, 0.7500, 0.7500)
Os (0.5000, 0.5000, 0.5000)
Ir (0.0000, 0.0000, 0.0000)

N(E_F) ... 1.453 states/eV per atom
Total magnetization ... 0.0 μB per cell

***

z:
Material: ScIrOs
Method: DFT, PBE-GGA
State: relaxed

abc: 4.4452 4.4452 2.7845
angles: 90.00 90.00 120.00
Element x y z (fractional)
Ir (0.0000, 0.0000, 0.9679)
Os (0.6667, 0.3333, 0.3711)
Sc (0.3333, 0.6667, 0.6609)

N(E_F) ... 1.655 states/eV per atom
Total magnetization ... 0.0 μB per cell

***

Stability check: which of them is most stable? x.

***

w:
Material: Sc3IrOs
Method: DFT, PBE-GGA
State: relaxed

abc: 4.8742 4.8742 4.8742
angles: 90.00 90.00 90.00
Element x y z (fractional)
Sc (0.0000, 0.5000, 0.0000)
Sc (0.5000, 0.0000, 0.0000)
Sc (0.0000, 0.0000, 0.5000)
Ir (0.0000, 0.0000, 0.0000)
Os (0.5000, 0.5000, 0.5000)

N(E_F) ... 0.957 states/eV per atom
Total magnetization ... 0.2 μB per cell

***

x:
Material: Sc3IrOs
Method: DFT, PBE-GGA
State: relaxed

abc: 4.8778 4.8778 4.8778
angles: 90.00 90.00 90.00
Element x y z (fractional)
Sc (0.5000, 0.0000, 0.0000)
Sc (0.0000, 0.5000, 0.0000)
Sc (0.0000, 0.0000, 0.5000)
Os (0.0000, 0.0000, 0.0000)
Ir (0.5000, 0.5000, 0.5000)

N(E_F) ... 0.619 states/eV per atom
Total magnetization ... 0.0 μB per cell

***

Stability check: which of them is most stable? x.

***

w:
Material: IrOsSe2
Method: DFT, PBE-GGA
State: relaxed

abc: 2.8548 5.0431 4.5092
angles: 90.00 90.00 90.00
Element x y z (fractional)
Se (0.5000, 0.5000, 0.0000)
Se (0.0000, 0.0000, 0.0000)
Ir (0.5000, 0.0000, 0.5000)
Os (0.0000, 0.5000, 0.5000)

N(E_F) ... 1.008 states/eV per atom
Total magnetization ... 0.0 μB per cell

***

x:
Material: IrOsSe2
Method: DFT, PBE-GGA
State: relaxed

abc: 2.8754 2.8754 9.0430
angles: 90.00 90.00 119.88
Element x y z (fractional)
Ir (0.5000, 0.5000, 0.2500)
Se (0.0000, 0.0000, 0.9947)
Se (0.0000, 0.0000, 0.5053)
Os (0.5000, 0.5000, 0.7500)

N(E_F) ... 0.960 states/eV per atom
Total magnetization ... 0.0 μB per cell

***

y:
Material: IrOsSe2
Method: DFT, PBE-GGA
State: relaxed

abc: 8.0157 8.0157 8.0157
angles: 24.36 24.36 24.36
Element x y z (fractional)
Se (0.8986, 0.8986, 0.8986)
Se (0.1014, 0.1014, 0.1014)
Ir (0.5000, 0.5000, 0.5000)
Os (0.0000, 0.0000, 0.0000)

N(E_F) ... 1.037 states/eV per atom
Total magnetization ... 0.0 μB per cell

***

z:
Material: IrOsSe2
Method: DFT, PBE-GGA
State: relaxed

abc: 4.4949 2.8010 5.2147
angles: 94.35 90.00 90.00
Element x y z (fractional)
Se (0.0000, 0.9233, 0.0018)
Se (0.0000, 0.5767, 0.4982)
Ir (0.5000, 0.2500, 0.2500)
Os (0.5000, 0.7500, 0.7500)

N(E_F) ... 0.850 states/eV per atom
Total magnetization ... 0.0 μB per cell

***

Stability check: which of them is most stable? y.

***

w:
Material: IrOsSe2
Method: DFT, PBE-GGA
State: relaxed

abc: 6.4961 6.4961 6.4961
angles: 154.15 139.36 48.80
Element x y z (fractional)
Se (0.0783, 0.0783, 0.0000)
Se (0.4217, 0.4217, 0.0000)
Os (0.2500, 0.7500, 0.5000)
Ir (0.7500, 0.2500, 0.5000)

N(E_F) ... 1.414 states/eV per atom
Total magnetization ... 0.0 μB per cell

***

x:
Material: IrOsSe2
Method: DFT, PBE-GGA
State: relaxed

abc: 3.0773 3.7904 6.2876
angles: 90.00 90.00 90.00
Element x y z (fractional)
Ir (0.0000, 0.0000, 0.5052)
Se (0.0000, 0.0000, 0.8999)
Se (0.5000, 0.5000, 0.3531)
Os (0.5000, 0.5000, 0.7419)

N(E_F) ... 0.783 states/eV per atom
Total magnetization ... 0.0 μB per cell

***

Stability check: which of them is most stable? x.

***

w:
Material: Ir3OsSe
Method: DFT, PBE-GGA
State: relaxed

abc: 4.7482 4.7482 4.7482
angles: 90.00 90.00 90.00
Element x y z (fractional)
Os (0.0000, 0.0000, 0.0000)
Ir (0.0000, 0.5000, 0.0000)
Ir (0.0000, 0.0000, 0.5000)
Ir (0.5000, 0.0000, 0.0000)
Se (0.5000, 0.5000, 0.5000)

N(E_F) ... 1.501 states/eV per atom
Total magnetization ... 0.0 μB per cell

***

x:
Material: Ir3OsSe
Method: DFT, PBE-GGA
State: relaxed

abc: 4.5261 4.5261 4.5261
angles: 90.00 90.00 90.00
Element x y z (fractional)
Se (0.0000, 0.0000, 0.0000)
Ir (0.0000, 0.0000, 0.5000)
Ir (0.5000, 0.0000, 0.0000)
Ir (0.0000, 0.5000, 0.0000)
Os (0.5000, 0.5000, 0.5000)

N(E_F) ... 1.716 states/eV per atom
Total magnetization ... 2.6 μB per cell

***

Stability check: which of them is most stable? x.